# 1
This record from the Alexandria database describes a relaxed Te2RuNCl crystal. The functional is PBE.

Summary:
**Symmetry**: P4/mmm (123)
**Energy**: -4.798 eV per atom
**ΔE_f (raw)**: 0.349 eV/atom
**Offset from the most stable computed form**: 0.000 eV per formula unit

Cell: 5.530 5.530 3.629 Å, 90.00 90.00 90.00°
Fractional positions:
Te 0.000 0.500 0.000
Te 0.500 0.000 0.000
Ru 0.000 0.000 0.000
N 0.000 0.000 0.500
Cl 0.500 0.500 0.500

---

# 2
This record from the Alexandria database describes a relaxed Te2RuNCl crystal. The functional is PBE.

Summary:
**Symmetry**: P4/mmm (123)
**Energy**: -3.468 eV per atom
**ΔE_f (raw)**: 1.678 eV/atom
**Offset from the most stable computed form**: 6.649 eV per formula unit

Cell: 5.316 5.316 3.364 Å, 90.00 90.00 90.00°
Fractional positions:
Te 0.000 0.500 0.000
Te 0.500 0.000 0.000
Ru 0.000 0.000 0.500
N 0.500 0.500 0.500
Cl 0.500 0.500 0.000

---

# 3
This record from the Alexandria database describes a relaxed TiRuN2Cl crystal. The functional is PBE.

Summary:
**Symmetry**: P4/mmm (123)
**Energy**: -6.355 eV per atom
**ΔE_f (raw)**: 0.779 eV/atom

Cell: 3.833 3.833 4.849 Å, 90.00 90.00 90.00°
Fractional positions:
Ti 0.000 0.000 0.000
Ru 0.500 0.500 0.500
N 0.000 0.500 0.500
N 0.500 0.000 0.500
Cl 0.500 0.500 0.000

---

# 4
This record from the Alexandria database describes a relaxed SbSNCl2 crystal. The functional is PBE.

Summary:
**Symmetry**: P4/mmm (123)
**Energy**: -3.151 eV per atom
**ΔE_f (raw)**: 0.902 eV/atom
**Offset from the most stable computed form**: 0.226 eV per formula unit

Cell: 4.370 4.370 4.626 Å, 90.00 90.00 90.00°
Fractional positions:
Sb 0.000 0.000 0.000
S 0.500 0.500 0.000
N 0.500 0.500 0.500
Cl 0.000 0.500 0.500
Cl 0.500 0.000 0.500

---

# 5
This record from the Alexandria database describes a relaxed SbS2NCl6 crystal. The functional is PBE.

Summary:
**Symmetry**: Immm (71)
**Energy**: -3.526 eV per atom
**ΔE_f (raw)**: -0.347 eV/atom

Cell: 7.399 7.399 7.399 Å, 121.28 112.95 95.22°
Fractional positions:
Sb 0.000 0.000 0.000
S 0.317 0.500 0.817
S 0.683 0.500 0.183
N 0.500 0.500 0.000
Cl 0.170 0.407 0.238
Cl 0.170 0.932 0.762
Cl 0.295 0.000 0.295
Cl 0.705 0.000 0.705
Cl 0.830 0.068 0.238
Cl 0.830 0.593 0.762

---

# 6
This record from the Alexandria database describes a relaxed SbSN2Cl crystal. The functional is PBE.

Summary:
**Symmetry**: P4/mmm (123)
**Energy**: -3.925 eV per atom
**ΔE_f (raw)**: 1.424 eV/atom
**Offset from the most stable computed form**: 0.000 eV per formula unit

Cell: 3.942 3.942 5.857 Å, 90.00 90.00 90.00°
Fractional positions:
Sb 0.000 0.000 0.000
S 0.000 0.000 0.500
N 0.000 0.500 0.000
N 0.500 0.000 0.000
Cl 0.500 0.500 0.500

---

# 7
This record from the Alexandria database describes a relaxed SbSN2Cl crystal. The functional is PBE.

Summary:
**Symmetry**: P4/mmm (123)
**Energy**: -3.375 eV per atom
**ΔE_f (raw)**: 1.975 eV/atom
**Offset from the most stable computed form**: 2.752 eV per formula unit

Cell: 4.024 4.024 4.642 Å, 90.00 90.00 90.00°
Fractional positions:
Sb 0.000 0.000 0.000
S 0.500 0.500 0.000
N 0.000 0.500 0.500
N 0.500 0.000 0.500
Cl 0.500 0.500 0.500

---

# 8
This record from the Alexandria database describes a relaxed SbSNCl2 crystal. The functional is PBE.

Summary:
**Symmetry**: P4/mmm (123)
**Energy**: -3.196 eV per atom
**ΔE_f (raw)**: 0.857 eV/atom
**Offset from the most stable computed form**: 0.000 eV per formula unit

Cell: 5.302 5.302 5.055 Å, 90.00 90.00 90.00°
Fractional positions:
Sb 0.000 0.000 0.000
S 0.000 0.000 0.500
N 0.500 0.500 0.500
Cl 0.000 0.500 0.000
Cl 0.500 0.000 0.000

---

# 9
This record from the Alexandria database describes a relaxed ScSN2Cl crystal. The functional is PBE.

Summary:
**Symmetry**: P4/mmm (123)
**Energy**: -4.544 eV per atom
**ΔE_f (raw)**: 1.247 eV/atom
**Offset from the most stable computed form**: 1.840 eV per formula unit

Cell: 3.883 3.883 4.533 Å, 90.00 90.00 90.00°
Fractional positions:
Sc 0.000 0.000 0.000
S 0.500 0.500 0.000
N 0.000 0.500 0.500
N 0.500 0.000 0.500
Cl 0.500 0.500 0.500

---

# 10
This record from the Alexandria database describes a relaxed ScSNCl2 crystal. The functional is PBE.

Summary:
**Symmetry**: P4/mmm (123)
**Energy**: -4.528 eV per atom
**ΔE_f (raw)**: -0.033 eV/atom
**Offset from the most stable computed form**: 0.000 eV per formula unit

Cell: 5.028 5.028 5.046 Å, 90.00 90.00 90.00°
Fractional positions:
Sc 0.000 0.000 0.000
S 0.000 0.000 0.500
N 0.500 0.500 0.500
Cl 0.000 0.500 0.000
Cl 0.500 0.000 0.000

---

# 11
This record from the Alexandria database describes a relaxed ScSNCl2 crystal. The functional is PBE.

Summary:
**Symmetry**: P4/mmm (123)
**Energy**: -4.222 eV per atom
**ΔE_f (raw)**: 0.273 eV/atom
**Offset from the most stable computed form**: 1.529 eV per formula unit

Cell: 4.145 4.145 4.824 Å, 90.00 90.00 90.00°
Fractional positions:
Sc 0.000 0.000 0.000
S 0.500 0.500 0.000
N 0.500 0.500 0.500
Cl 0.000 0.500 0.500
Cl 0.500 0.000 0.500

---

# 12
This record from the Alexandria database describes a relaxed ScSN2Cl crystal. The functional is PBE.

Summary:
**Symmetry**: P4/mmm (123)
**Energy**: -4.912 eV per atom
**ΔE_f (raw)**: 0.879 eV/atom
**Offset from the most stable computed form**: 0.000 eV per formula unit

Cell: 4.278 4.278 5.311 Å, 90.00 90.00 90.00°
Fractional positions:
Sc 0.000 0.000 0.000
S 0.000 0.000 0.500
N 0.000 0.500 0.000
N 0.500 0.000 0.000
Cl 0.500 0.500 0.500